(1)
Compound: SrCa2Mo
Source: Alexandria
Functional: PBE
Structure: relaxed

Cell and atoms, written as POSCAR:
```
SrCa2Mo
1.0
6.6774 -1.9187 0.0000
6.6774 1.9187 0.0000
-2.5837 0.0000 5.2812
Sr Ca Mo
1 2 1
Cartesian
0.0000 0.0000 0.0000 Sr
6.3480 0.0000 3.1130 Ca
9.8475 0.0000 1.5589 Ca
1.7850 0.0000 4.1565 Mo
```

space group: Cm (8)
volume: 135.3 Å³/cell
final energy: -3.413 eV/atom

(2)
Compound: Tb3Y8Pu
Source: Alexandria
Functional: PBE
Structure: relaxed

Cell and atoms, written as POSCAR:
```
Tb3Y8Pu
1.0
-4.3239 4.3239 5.7222
4.3239 -4.3239 5.7222
4.3239 4.3239 -5.7222
Tb Y Pu
3 8 1
Cartesian
0.0000 0.0000 0.0000 Tb
4.3239 0.0000 2.8611 Tb
0.0000 4.3239 2.8611 Tb
1.0977 -1.0977 3.0487 Y
2.3223 2.3223 -0.3502 Y
2.0016 -2.0016 6.0724 Y
-1.0977 1.0977 3.0487 Y
3.2262 3.2262 2.6735 Y
2.0016 2.0016 5.3720 Y
-2.0016 2.0016 6.0724 Y
1.0977 1.0977 8.3957 Y
0.0000 0.0000 5.7222 Pu
```

space group: I-42m (121)
volume: 427.9 Å³/cell
final energy: -6.055 eV/atom

(3)
Compound: Cs3Pm2UAs6
Source: Alexandria
Functional: PBE
Structure: relaxed

Cell and atoms, written as POSCAR:
```
Cs3Pm2UAs6
1.0
3.8180 -6.6129 0.0000
3.8180 6.6129 0.0000
-2.5469 0.0000 8.2927
Cs Pm U As
3 2 1 6
Cartesian
0.0000 0.0000 0.0000 Cs
3.8180 2.2807 0.0000 Cs
3.8180 -2.2807 0.0000 Cs
2.5446 4.4192 4.1463 Pm
2.5446 -4.4192 4.1463 Pm
2.5446 0.0000 4.1463 U
1.3585 2.0637 2.7436 As
0.1739 0.0000 5.5717 As
1.3585 -2.0637 2.7436 As
3.7306 2.0637 5.5491 As
4.9152 0.0000 2.7210 As
3.7306 -2.0637 5.5491 As
```

space group: C2/m (12)
volume: 418.7 Å³/cell
final energy: -4.911 eV/atom

(4)
Compound: La2Ga2Ag3
Source: Alexandria
Functional: PBE
Structure: relaxed

Cell and atoms, written as POSCAR:
```
La2Ga2Ag3
1.0
2.2331 -10.2552 0.0000
2.2331 10.2552 0.0000
0.0000 0.0000 7.2479
La Ga Ag
4 4 6
Cartesian
2.2331 9.0770 5.4359 La
2.2331 6.8789 1.8120 La
2.2331 -6.8789 5.4359 La
2.2331 -9.0770 1.8120 La
2.2331 3.8465 0.4354 Ga
2.2331 3.8465 3.1885 Ga
2.2331 -3.8465 4.0593 Ga
2.2331 -3.8465 6.8125 Ga
2.2331 5.7368 5.4359 Ag
2.2331 1.2882 4.0681 Ag
2.2331 1.2882 6.8038 Ag
2.2331 -1.2882 0.4441 Ag
2.2331 -1.2882 3.1798 Ag
2.2331 -5.7368 1.8120 Ag
```

space group: Cmcm (63)
volume: 332.0 Å³/cell
final energy: -3.849 eV/atom